A plane-wave DFT calculation with PBE was carried out for a geometry-optimized Tb8Y3Th2 structure.

## Properties
* magnetic moment: 0.0 μB per formula unit
* energy of formation from the pure elements: 149 meV per atom
* total DFT energy (no corrections): -5.33 eV per atom

Cell lengths 14.5602, 7.0001, 15.4575 Å; angles 82.21, 96.71, 146.07 degrees
With the nearest neighbours (Å) after each atom.
Sites, in units of the cell vectors:
Tb (0.7113, 0.1377, 0.9436)  6 Tb 3.45-3.60, 2 Th 3.51-3.81, 2 Y 3.56-3.65
Tb (0.3663, 0.4969, 0.0731)  2 Y 3.27-3.52, 2 Th 3.34-3.66, 4 Tb 3.40-3.60
Th (0.8556, 0.7219, 0.5720)  2 Y 3.22-3.57, 1 Th 3.24, 5 Tb 3.29-3.57
Tb (0.4209, 0.0446, 0.2750)  4 Y 3.44-3.61, 2 Th 3.47-3.68, 6 Tb 3.51-3.78
Tb (0.8050, 0.4561, 0.3559)  6 Tb 3.36-3.74, 3 Y 3.43-3.57, 3 Th 3.46-3.74
Tb (0.8214, 0.1816, 0.5623)  2 Th 3.40-3.62, 6 Tb 3.49-3.77, 3 Y 3.57-3.72
Y (0.5000, 0.0000, 0.5000)  2 Th 3.22, 4 Tb 3.43-3.59
Tb (0.7068, 0.8179, 0.1373)  6 Tb 3.40-3.72, 2 Th 3.41-3.60, 1 Y 3.64
Y (0.5585, 0.4148, 0.7007)  8 Tb 3.44-3.82, 2 Th 3.57-3.59
Tb (0.0699, 0.1916, 0.2166)  1 Th 3.29, 4 Y 3.41-3.62, 5 Tb 3.46-3.65
Y (0.9427, 0.3145, 0.7900)  9 Tb 3.41-3.75, 1 Th 3.58
Tb (0.2887, 0.8623, 0.0564)  6 Tb 3.45-3.60, 2 Th 3.51-3.81, 2 Y 3.56-3.65
Y (0.4415, 0.5852, 0.2993)  8 Tb 3.44-3.82, 2 Th 3.57-3.59
Y (0.0000, 0.0000, 0.0000)  6 Tb 3.27-3.65, 2 Th 3.45
Tb (0.1950, 0.5439, 0.6441)  6 Tb 3.36-3.74, 3 Y 3.43-3.57, 3 Th 3.46-3.74
Tb (0.1786, 0.8184, 0.4377)  2 Th 3.40-3.62, 6 Tb 3.49-3.77, 3 Y 3.57-3.72
Th (0.1444, 0.2781, 0.4280)  2 Y 3.22-3.57, 1 Th 3.24, 5 Tb 3.29-3.57
Tb (0.5791, 0.9554, 0.7250)  4 Y 3.44-3.61, 2 Th 3.47-3.68, 6 Tb 3.51-3.78
Tb (0.2932, 0.1821, 0.8627)  6 Tb 3.40-3.72, 2 Th 3.41-3.60, 1 Y 3.64
Tb (0.7946, 0.9137, 0.3677)  5 Tb 3.36-3.65, 2 Th 3.36-3.57, 2 Y 3.55-3.75
Tb (0.6337, 0.5031, 0.9269)  2 Y 3.27-3.52, 2 Th 3.34-3.66, 4 Tb 3.40-3.60
Th (0.3145, 0.7061, 0.8611)  7 Tb 3.34-3.66, 3 Y 3.45-3.59
Th (0.6855, 0.2939, 0.1389)  7 Tb 3.34-3.66, 3 Y 3.45-3.59
Tb (0.2054, 0.0863, 0.6323)  5 Tb 3.36-3.65, 2 Th 3.36-3.57, 2 Y 3.55-3.75
Tb (0.9301, 0.8084, 0.7834)  1 Th 3.29, 4 Y 3.41-3.62, 5 Tb 3.46-3.65
Y (0.0573, 0.6855, 0.2100)  9 Tb 3.41-3.75, 1 Th 3.58

A plane-wave DFT calculation with PBE was carried out for a geometry-optimized TbY6Th4 structure.

## Properties
* magnetic moment: 0.0 μB per formula unit
* energy of formation from the pure elements: 156 meV per atom
* total DFT energy (no corrections): -6.49 eV per atom

Cell lengths 5.7331, 5.6191, 26.0210 Å; angles 90.00, 90.00, 120.67 degrees
With the nearest neighbours (Å) after each atom.
Sites, in units of the cell vectors:
Y (0.8158, 0.6316, 0.3961)  6 Th 3.29-3.63
Y (0.8558, 0.7116, 0.8193)  4 Th 3.49-3.63, 7 Y 3.61-3.87, 3 Tb 3.70-3.75
Th (0.5242, 0.0485, 0.8774)  6 Y 3.20-3.54
Y (0.1442, 0.2884, 0.3193)  4 Th 3.49-3.63, 7 Y 3.61-3.87, 3 Tb 3.70-3.75
Tb (0.1896, 0.3792, 0.7500)  3 Y 3.25-3.27
Y (0.1842, 0.3684, 0.6039)  6 Th 3.29-3.63
Y (0.4742, 0.9485, 0.2500)  3 Tb 3.25-3.27, 2 Th 3.31
Th (0.4758, 0.9515, 0.1226)  6 Y 3.20-3.54
Th (0.4758, 0.9515, 0.3774)  6 Y 3.20-3.54
Y (0.5258, 0.0515, 0.7500)  3 Tb 3.25-3.27, 2 Th 3.31
Y (0.8158, 0.6316, 0.1039)  6 Th 3.29-3.63
Y (0.5000, 0.0000, 0.5000)  8 Th 3.20-3.52
Y (0.8558, 0.7116, 0.6807)  4 Th 3.49-3.63, 7 Y 3.61-3.87, 3 Tb 3.70-3.75
Tb (0.8104, 0.6208, 0.2500)  3 Y 3.25-3.27
Y (0.1442, 0.2884, 0.1807)  4 Th 3.49-3.63, 7 Y 3.61-3.87, 3 Tb 3.70-3.75
Y (0.5000, 0.0000, 0.0000)  8 Th 3.20-3.52
Th (0.1577, 0.3154, 0.4535)  7 Y 3.46-3.63, 1 Th 3.66
Th (0.8423, 0.6846, 0.5465)  7 Y 3.46-3.63, 1 Th 3.66
Th (0.5242, 0.0485, 0.6226)  6 Y 3.20-3.54
Y (0.1842, 0.3684, 0.8961)  6 Th 3.29-3.63
Th (0.1577, 0.3154, 0.0465)  7 Y 3.46-3.63, 1 Th 3.66
Th (0.8423, 0.6846, 0.9535)  7 Y 3.46-3.63, 1 Th 3.66